Record 1
Co2NiHPb after structural relaxation, computed with PBE-GGA.

Cell: 3.840 3.840 3.793 Å, 90.00 90.00 90.00°
Sites, in units of the cell vectors:
Pb: 0.500 0.500 0.500
Ni: 0.000 0.000 0.500
Co: 0.000 0.500 0.000
Co: 0.500 0.000 0.000
H: 0.000 0.000 0.000

Summary:
For the volume, the calculation gives 56 Å³/f.u. For the density of states at the Fermi level, the calculation gives 3.27 states/eV/cell. For the total DFT energy (no corrections), the calculation gives -5.2124 eV per atom. Its space group is P4/mmm.

Record 2
CoNi2HPd after structural relaxation, computed with PBE-GGA.

Cell: 3.698 3.698 3.687 Å, 90.00 90.00 90.00°
Sites, in units of the cell vectors:
Ni: 0.000 0.500 0.000
Ni: 0.500 0.000 0.000
Co: 0.000 0.000 0.500
Pd: 0.500 0.500 0.500
H: 0.000 0.000 0.000

Summary:
For the volume, the calculation gives 50 Å³/f.u. The offset from the most stable computed form comes out at 0 meV/atom. For the density of states at the Fermi level, the calculation gives 7.06 states/eV/cell. For the total DFT energy (no corrections), the calculation gives -5.3947 eV per atom. Its space group is P4/mmm.

Record 3
CoNi2HPd after structural relaxation, computed with PBE-GGA.

Cell: 3.676 3.676 3.803 Å, 90.00 90.00 90.00°
Sites, in units of the cell vectors:
Ni: 0.000 0.500 0.000
Ni: 0.500 0.000 0.000
Co: 0.500 0.500 0.500
Pd: 0.000 0.000 0.500
H: 0.000 0.000 0.000

Summary:
For the volume, the calculation gives 51 Å³/f.u. The offset from the most stable computed form comes out at 35 meV/atom. For the density of states at the Fermi level, the calculation gives 8.10 states/eV/cell. For the total DFT energy (no corrections), the calculation gives -5.3596 eV per atom. Its space group is P4/mmm.

Record 4
Pm2CoNiH6 after structural relaxation, computed with PBE-GGA.

Cell: 5.103 5.104 5.073 Å, 120.19 120.19 90.10°
Sites, in units of the cell vectors:
Pm: 0.750 0.250 0.500
Pm: 0.250 0.750 0.500
Co: 0.000 0.000 0.000
Ni: 0.500 0.500 0.000
H: 0.758 0.758 0.000
H: 0.757 0.757 0.513
H: 0.242 0.242 0.000
H: 0.758 0.242 0.000
H: 0.243 0.244 0.487
H: 0.242 0.758 0.000

Summary:
For the volume, the calculation gives 93 Å³/f.u. For the density of states at the Fermi level, the calculation gives 4.64 states/eV/cell. For the total DFT energy (no corrections), the calculation gives -4.6989 eV per atom. Its space group is I4/mmm.

Record 5
Pr2CoNiH6 after structural relaxation, computed with PBE-GGA.

Cell: 5.166 5.166 5.144 Å, 120.05 120.05 90.19°
Sites, in units of the cell vectors:
Pr: 0.750 0.250 0.500
Pr: 0.250 0.750 0.500
Co: 0.000 0.000 0.000
Ni: 0.500 0.500 0.000
H: 0.759 0.760 0.000
H: 0.757 0.758 0.515
H: 0.241 0.241 0.000
H: 0.760 0.241 0.000
H: 0.242 0.243 0.485
H: 0.240 0.760 0.000

Summary:
For the volume, the calculation gives 97 Å³/f.u. For the density of states at the Fermi level, the calculation gives 4.44 states/eV/cell. For the total DFT energy (no corrections), the calculation gives -4.6768 eV per atom. Its space group is Fmmm.

Record 6
PrCoNiH6 after structural relaxation, computed with PBE-GGA.

Cell: 4.472 4.472 4.252 Å, 90.00 90.00 60.00°
Sites, in units of the cell vectors:
Pr: 0.000 0.000 0.000
Co: 0.333 0.333 0.500
Ni: 0.667 0.667 0.500
H: 0.009 0.495 0.260
H: 0.495 0.009 0.740
H: 0.495 0.495 0.740
H: 0.009 0.495 0.740
H: 0.495 0.495 0.260
H: 0.495 0.009 0.260

Summary:
For the volume, the calculation gives 74 Å³/f.u. For the density of states at the Fermi level, the calculation gives 5.24 states/eV/cell. For the total DFT energy (no corrections), the calculation gives -4.5554 eV per atom. Its space group is P-6m2.

Record 7
CoNi2HPt after structural relaxation, computed with PBE-GGA.

Cell: 3.705 3.705 3.690 Å, 90.00 90.00 90.00°
Sites, in units of the cell vectors:
Ni: 0.000 0.500 0.000
Ni: 0.500 0.000 0.000
Co: 0.000 0.000 0.500
Pt: 0.500 0.500 0.500
H: 0.000 0.000 0.000

Summary:
For the volume, the calculation gives 51 Å³/f.u. The offset from the most stable computed form comes out at 0 meV/atom. For the density of states at the Fermi level, the calculation gives 6.30 states/eV/cell. For the total DFT energy (no corrections), the calculation gives -5.6450 eV per atom. Its space group is P4/mmm.

Record 8
CoNi2HPt after structural relaxation, computed with PBE-GGA.

Cell: 3.693 3.693 3.804 Å, 90.00 90.00 90.00°
Sites, in units of the cell vectors:
Ni: 0.000 0.500 0.000
Ni: 0.500 0.000 0.000
Co: 0.500 0.500 0.500
Pt: 0.000 0.000 0.500
H: 0.000 0.000 0.000

Summary:
For the volume, the calculation gives 52 Å³/f.u. The offset from the most stable computed form comes out at 60 meV/atom. For the density of states at the Fermi level, the calculation gives 7.37 states/eV/cell. For the total DFT energy (no corrections), the calculation gives -5.5848 eV per atom. Its space group is P4/mmm.

Record 9
Co2NiHPt after structural relaxation, computed with PBE-GGA.

Cell: 3.684 3.684 3.735 Å, 90.00 90.00 90.00°
Sites, in units of the cell vectors:
Ni: 0.000 0.000 0.500
Co: 0.000 0.500 0.000
Co: 0.500 0.000 0.000
Pt: 0.500 0.500 0.500
H: 0.000 0.000 0.000

Summary:
For the volume, the calculation gives 51 Å³/f.u. The offset from the most stable computed form comes out at 0 meV/atom. For the density of states at the Fermi level, the calculation gives 4.89 states/eV/cell. For the total DFT energy (no corrections), the calculation gives -5.9074 eV per atom. Its space group is P4/mmm.

Record 10
Co2NiHPt after structural relaxation, computed with PBE-GGA.

Cell: 3.678 3.678 3.816 Å, 90.00 90.00 90.00°
Sites, in units of the cell vectors:
Ni: 0.500 0.500 0.500
Co: 0.000 0.500 0.000
Co: 0.500 0.000 0.000
Pt: 0.000 0.000 0.500
H: 0.000 0.000 0.000

Summary:
For the volume, the calculation gives 52 Å³/f.u. The offset from the most stable computed form comes out at 56 meV/atom. For the density of states at the Fermi level, the calculation gives 5.08 states/eV/cell. For the total DFT energy (no corrections), the calculation gives -5.8514 eV per atom. Its space group is P4/mmm.

Record 11
PuCoNiH6 after structural relaxation, computed with PBE-GGA.

Cell: 4.387 4.387 4.127 Å, 90.00 90.00 60.00°
Sites, in units of the cell vectors:
Pu: 0.000 0.000 0.000
Co: 0.333 0.333 0.500
Ni: 0.667 0.667 0.500
H: 0.007 0.497 0.245
H: 0.497 0.007 0.755
H: 0.497 0.497 0.755
H: 0.007 0.497 0.755
H: 0.497 0.497 0.245
H: 0.497 0.007 0.245

Summary:
For the volume, the calculation gives 69 Å³/f.u. For the density of states at the Fermi level, the calculation gives 13.16 states/eV/cell. For the total DFT energy (no corrections), the calculation gives -5.5043 eV per atom. Its space group is P-6m2.

Record 12
PuCo2NiH8 after structural relaxation, computed with PBE-GGA.

Cell: 4.385 4.385 5.870 Å, 68.07 68.07 60.00°
Sites, in units of the cell vectors:
Pu: 0.500 0.500 0.500
Co: 0.300 0.300 0.099
Co: 0.700 0.700 0.901
Ni: 0.000 0.000 0.000
H: 0.198 0.198 0.405
H: 0.639 0.320 0.138
H: 0.802 0.802 0.595
H: 0.904 0.639 0.138
H: 0.096 0.361 0.862
H: 0.320 0.904 0.138
H: 0.680 0.096 0.862
H: 0.361 0.680 0.862

Summary:
For the volume, the calculation gives 88 Å³/f.u. For the density of states at the Fermi level, the calculation gives 14.88 states/eV/cell. For the total DFT energy (no corrections), the calculation gives -5.2252 eV per atom. Its space group is R-3.

Record 13
Pu2CoNiH6 after structural relaxation, computed with PBE-GGA.

Cell: 5.022 5.022 5.043 Å, 60.11 60.11 89.97°
Sites, in units of the cell vectors:
Pu: 0.750 0.250 0.500
Pu: 0.250 0.750 0.500
Co: 0.500 0.500 0.000
Ni: 0.000 0.000 0.000
H: 0.259 0.259 0.482
H: 0.743 0.743 0.000
H: 0.257 0.743 0.000
H: 0.743 0.257 0.000
H: 0.257 0.257 0.000
H: 0.741 0.741 0.518

Summary:
For the volume, the calculation gives 90 Å³/f.u. For the density of states at the Fermi level, the calculation gives 19.43 states/eV/cell. For the total DFT energy (no corrections), the calculation gives -6.4688 eV per atom. Its space group is I4/mmm.

Record 14
Pu2Co3NiH12 after structural relaxation, computed with PBE-GGA.

Cell: 5.768 5.768 5.768 Å, 59.72 59.72 59.72°
Sites, in units of the cell vectors:
Pu: 0.626 0.626 0.626
Pu: 0.374 0.374 0.374
Co: 0.500 0.000 0.000
Co: 0.000 0.500 0.000
Co: 0.000 0.000 0.500
Ni: 0.000 0.000 0.000
H: 0.342 0.342 0.919
H: 0.911 0.911 0.342
H: 0.342 0.911 0.911
H: 0.919 0.342 0.342
H: 0.911 0.342 0.911
H: 0.342 0.919 0.342
H: 0.658 0.658 0.081
H: 0.089 0.089 0.658
H: 0.658 0.089 0.089
H: 0.081 0.658 0.658
H: 0.089 0.658 0.089
H: 0.658 0.081 0.658

Summary:
For the volume, the calculation gives 135 Å³/f.u. For the density of states at the Fermi level, the calculation gives 21.63 states/eV/cell. For the total DFT energy (no corrections), the calculation gives -5.4882 eV per atom. Its space group is R-3m.

Record 15
Co2ReNiH after structural relaxation, computed with PBE-GGA.

Cell: 3.627 3.627 3.771 Å, 90.00 90.00 90.00°
Sites, in units of the cell vectors:
Re: 0.000 0.000 0.500
Co: 0.000 0.500 0.000
Co: 0.500 0.000 0.000
H: 0.000 0.000 0.000
Ni: 0.500 0.500 0.500

Summary:
For the volume, the calculation gives 50 Å³/f.u. The offset from the most stable computed form comes out at 24 meV/atom. For the density of states at the Fermi level, the calculation gives 5.07 states/eV/cell. For the total DFT energy (no corrections), the calculation gives -6.9712 eV per atom. Its space group is P4/mmm.

Record 16
Co2ReNiH after structural relaxation, computed with PBE-GGA.

Cell: 3.678 3.678 3.581 Å, 90.00 90.00 90.00°
Sites, in units of the cell vectors:
Re: 0.500 0.500 0.500
Co: 0.000 0.500 0.000
Co: 0.500 0.000 0.000
H: 0.000 0.000 0.000
Ni: 0.000 0.000 0.500

Summary:
For the volume, the calculation gives 48 Å³/f.u. The offset from the most stable computed form comes out at 0 meV/atom. For the density of states at the Fermi level, the calculation gives 5.32 states/eV/cell. For the total DFT energy (no corrections), the calculation gives -6.9957 eV per atom. Its space group is P4/mmm.

Record 17
Co2NiH4Rh after structural relaxation, computed with PBE-GGA.

Cell: 2.728 4.650 4.620 Å, 71.30 90.00 90.00°
Sites, in units of the cell vectors:
Co: 0.000 0.000 0.000
Co: 0.500 0.000 0.500
Ni: 0.500 0.500 0.000
H: 0.000 0.763 0.753
H: 0.000 0.237 0.247
H: 0.500 0.776 0.229
H: 0.500 0.224 0.771
Rh: 0.000 0.500 0.500

Summary:
For the volume, the calculation gives 56 Å³/f.u. For the density of states at the Fermi level, the calculation gives 6.62 states/eV/cell. For the total DFT energy (no corrections), the calculation gives -5.0656 eV per atom. Its space group is P2/m.

Record 18
CoNiHRu2 after structural relaxation, computed with PBE-GGA.

Cell: 3.793 3.793 3.649 Å, 90.00 90.00 90.00°
Sites, in units of the cell vectors:
Ru: 0.000 0.500 0.000
Ru: 0.500 0.000 0.000
Co: 0.000 0.000 0.500
H: 0.000 0.000 0.000
Ni: 0.500 0.500 0.500

Summary:
For the volume, the calculation gives 52 Å³/f.u. The offset from the most stable computed form comes out at 0 meV/atom. For the density of states at the Fermi level, the calculation gives 5.56 states/eV/cell. For the total DFT energy (no corrections), the calculation gives -6.7743 eV per atom. Its space group is P4/mmm.

Record 19
CoNiHRu2 after structural relaxation, computed with PBE-GGA.

Cell: 3.807 3.807 3.636 Å, 90.00 90.00 90.00°
Sites, in units of the cell vectors:
Ru: 0.000 0.500 0.000
Ru: 0.500 0.000 0.000
Co: 0.500 0.500 0.500
H: 0.000 0.000 0.000
Ni: 0.000 0.000 0.500

Summary:
For the volume, the calculation gives 53 Å³/f.u. The offset from the most stable computed form comes out at 3 meV/atom. For the density of states at the Fermi level, the calculation gives 5.16 states/eV/cell. For the total DFT energy (no corrections), the calculation gives -6.7713 eV per atom. Its space group is P4/mmm.

Record 20
CoNiH2S after structural relaxation, computed with PBE-GGA.

Cell: 3.313 4.835 3.313 Å, 90.00 90.00 90.00°
Sites, in units of the cell vectors:
Ni: 0.000 0.500 0.000
S: 0.000 0.000 0.000
Co: 0.500 0.500 0.500
H: 0.000 0.000 0.500
H: 0.500 0.000 0.000

Summary:
For the volume, the calculation gives 53 Å³/f.u. For the density of states at the Fermi level, the calculation gives 5.17 states/eV/cell. For the total DFT energy (no corrections), the calculation gives -4.0830 eV per atom. Its space group is P4/mmm.

Record 21
ScCoNiH2 after structural relaxation, computed with PBE-GGA.

Cell: 3.455 4.543 3.455 Å, 90.00 90.00 90.00°
Sites, in units of the cell vectors:
Sc: 0.500 0.500 0.500
Ni: 0.000 0.000 0.000
Co: 0.000 0.500 0.000
H: 0.000 0.000 0.500
H: 0.500 0.000 0.000

Summary:
For the volume, the calculation gives 54 Å³/f.u. For the density of states at the Fermi level, the calculation gives 4.08 states/eV/cell. For the total DFT energy (no corrections), the calculation gives -5.0127 eV per atom. Its space group is P4/mmm.

Record 22
ScCoNi2H after structural relaxation, computed with PBE-GGA.

Cell: 3.720 3.720 3.792 Å, 90.00 90.00 90.00°
Sites, in units of the cell vectors:
Sc: 0.500 0.500 0.500
Ni: 0.000 0.500 0.000
Ni: 0.500 0.000 0.000
Co: 0.000 0.000 0.500
H: 0.000 0.000 0.000

Summary:
For the volume, the calculation gives 52 Å³/f.u. The offset from the most stable computed form comes out at 0 meV/atom. For the density of states at the Fermi level, the calculation gives 3.29 states/eV/cell. For the total DFT energy (no corrections), the calculation gives -5.9621 eV per atom. Its space group is P4/mmm.

Record 23
Sc2CoNi6H after structural relaxation, computed with PBE-GGA.

Cell: 5.014 6.336 5.018 Å, 66.68 60.05 90.03°
Sites, in units of the cell vectors:
Sc: 0.787 0.361 0.425
Sc: 0.213 0.639 0.575
Co: 0.500 0.500 0.000
Ni: 0.228 0.175 0.543
Ni: 0.772 0.823 0.951
Ni: 0.279 0.823 0.950
Ni: 0.721 0.177 0.050
Ni: 0.228 0.177 0.049
Ni: 0.772 0.825 0.457
H: 0.000 0.000 0.000

Summary:
For the volume, the calculation gives 123 Å³/f.u. For the density of states at the Fermi level, the calculation gives 10.87 states/eV/cell. For the total DFT energy (no corrections), the calculation gives -6.0458 eV per atom. Its space group is C2/m.

Record 24
ScCoNiH6 after structural relaxation, computed with PBE-GGA.

Cell: 4.278 4.278 3.914 Å, 90.00 90.00 60.00°
Sites, in units of the cell vectors:
Sc: 0.000 0.000 0.000
Co: 0.333 0.333 0.500
Ni: 0.667 0.667 0.500
H: 0.009 0.496 0.231
H: 0.496 0.009 0.769
H: 0.495 0.496 0.769
H: 0.009 0.495 0.769
H: 0.496 0.495 0.231
H: 0.495 0.009 0.231

Summary:
For the volume, the calculation gives 62 Å³/f.u. For the density of states at the Fermi level, the calculation gives 4.50 states/eV/cell. For the total DFT energy (no corrections), the calculation gives -4.6183 eV per atom. Its space group is P-6m2.

Record 25
ScCoNi2H after structural relaxation, computed with PBE-GGA.

Cell: 3.614 3.614 4.068 Å, 90.00 90.00 90.00°
Sites, in units of the cell vectors:
Sc: 0.000 0.000 0.500
Ni: 0.000 0.500 0.000
Ni: 0.500 0.000 0.000
Co: 0.500 0.500 0.500
H: 0.000 0.000 0.000

Summary:
For the volume, the calculation gives 53 Å³/f.u. The offset from the most stable computed form comes out at 54 meV/atom. For the density of states at the Fermi level, the calculation gives 3.75 states/eV/cell. For the total DFT energy (no corrections), the calculation gives -5.9079 eV per atom. Its space group is P4/mmm.